No. 1
The following is a PBE calculation of crystalline PuBe2PtAu2 at its relaxed geometry, from Alexandria via LeMat-Bulk.

abc: 4.1691 4.1691 12.9138
angles: 90.00 90.00 90.00
Space group I4/mmm (No. 139)
Asymmetric unit:
Pu 0.0000 0.0000 0.0000 (multiplicity 2)
Be 0.0000 0.0000 0.3293 (multiplicity 4)
Pt 0.0000 0.0000 0.5000 (multiplicity 2)
Au 0.0000 0.5000 0.2500 (multiplicity 4)

Output
- E_form: -0.253 eV per atom
- Crystal system: tetragonal
- E: -5.983 eV per atom

No. 2
The following is a PBE calculation of crystalline Nd2AgSn3Pd4 at its relaxed geometry, from Alexandria via LeMat-Bulk.

abc: 4.4791 4.4791 11.1053
angles: 90.00 90.00 90.00
Space group P-4m2 (No. 115)
Asymmetric unit:
Nd 0.0000 0.5000 0.2473 (multiplicity 2)
Ag 0.5000 0.5000 0.0000 (multiplicity 1)
Sn 0.0000 0.0000 0.0000 (multiplicity 1)
Sn 0.0000 0.5000 0.6289 (multiplicity 2)
Pd 0.0000 0.0000 0.5000 (multiplicity 1)
Pd 0.0000 0.5000 0.8612 (multiplicity 2)
Pd 0.5000 0.5000 0.5000 (multiplicity 1)

Output
- E_form: -0.675 eV per atom
- Crystal system: tetragonal
- E: -5.191 eV per atom